Record 1
Entry from Alexandria via LeMat-Bulk: a geometry-optimized Be2CrW structure (PBE).

Lattice parameters (Å, degrees): 3.5357 3.5357 3.6217 90.00 90.00 90.00
Closest atoms and distances in Å follow each position.
Sites, in units of the cell vectors:
Be (0.0000, 0.5000, 0.0000)  4 Be 2.50, 4 Cr 2.53, 4 W 2.53
Be (0.5000, 0.0000, 0.0000)  4 Be 2.50, 4 Cr 2.53, 4 W 2.53
Cr (0.0000, 0.0000, 0.5000)  4 W 2.50, 8 Be 2.53
W (0.5000, 0.5000, 0.5000)  4 Cr 2.50, 8 Be 2.53

Output
Energy of formation   131 meV per atom
Polymorph energy (0 for the lowest one)   203.1 meV per atom



Record 2
Entry from Alexandria via LeMat-Bulk: a geometry-optimized Mg4Sn3Pt structure (PBE).

Lattice parameters (Å, degrees): 3.2899 3.2899 16.1193 90.00 90.00 90.00
Closest atoms and distances in Å follow each position.
Sites, in units of the cell vectors:
Mg (0.0000, 0.0000, 0.0922)  4 Pt 2.76, 1 Mg 2.97
Mg (0.0000, 0.0000, 0.3634)  8 Sn 3.17-3.20, 4 Mg 3.29
Mg (0.0000, 0.0000, 0.6366)  8 Sn 3.17-3.20, 4 Mg 3.29
Mg (0.0000, 0.0000, 0.9078)  4 Pt 2.76, 1 Mg 2.97
Sn (0.5000, 0.5000, 0.2301)  8 Mg 3.17-3.22, 4 Sn 3.29
Sn (0.5000, 0.5000, 0.5000)  8 Mg 3.20, 4 Sn 3.29
Sn (0.5000, 0.5000, 0.7699)  8 Mg 3.17-3.22, 4 Sn 3.29
Pt (0.5000, 0.5000, 0.0000)  8 Mg 2.76

Output
Energy of formation   -314 meV per atom



Record 3
Entry from Alexandria via LeMat-Bulk: a geometry-optimized YZrFe2 structure (PBE).

Lattice parameters (Å, degrees): 3.1522 3.1522 7.6296 90.00 90.00 90.00
Closest atoms and distances in Å follow each position.
Sites, in units of the cell vectors:
Y (0.0000, 0.0000, 0.0000)  5 Fe 2.98-3.17, 4 Y 3.15
Zr (0.5000, 0.5000, 0.3711)  5 Fe 2.76-2.82
Fe (0.0000, 0.0000, 0.5845)  4 Fe 2.53, 4 Zr 2.76
Fe (0.5000, 0.5000, 0.7407)  4 Fe 2.53, 1 Zr 2.82

Output
Energy of formation   125 meV per atom
Polymorph energy (0 for the lowest one)   136.8 meV per atom



Record 4
Entry from Alexandria via LeMat-Bulk: a geometry-optimized ErTm2Au6 structure (PBE).

Lattice parameters (Å, degrees): 8.3860 8.3860 5.2006 98.80 98.80 143.81
Closest atoms and distances in Å follow each position.
Sites, in units of the cell vectors:
Er (0.0000, 0.0000, 0.0000)  10 Au 2.98-3.04
Tm (0.3346, 0.6654, 0.5000)  10 Au 3.01-3.08
Tm (0.6654, 0.3346, 0.5000)  10 Au 3.01-3.08
Au (0.0024, 0.6700, 0.1677)  5 Au 2.98-3.07, 4 Tm 3.01-3.08, 1 Er 3.04
Au (0.3300, 0.9976, 0.8323)  5 Au 2.98-3.07, 4 Tm 3.01-3.08, 1 Er 3.04
Au (0.3436, 0.3436, 0.6715)  5 Au 2.95-3.12, 3 Er 2.98-3.04, 2 Tm 3.02
Au (0.6564, 0.6564, 0.3285)  5 Au 2.95-3.12, 3 Er 2.98-3.04, 2 Tm 3.02
Au (0.6700, 0.0024, 0.1677)  5 Au 2.98-3.07, 4 Tm 3.01-3.08, 1 Er 3.04
Au (0.9976, 0.3300, 0.8323)  5 Au 2.98-3.07, 4 Tm 3.01-3.08, 1 Er 3.04

Output
Energy of formation   -814 meV per atom



Record 5
Entry from Alexandria via LeMat-Bulk: a geometry-optimized NbPtC structure (PBE).

Lattice parameters (Å, degrees): 7.9517 7.9517 7.9517 27.19 27.19 27.19
Closest atoms and distances in Å follow each position.
Sites, in units of the cell vectors:
Nb (0.1192, 0.1192, 0.1192)  4 C 2.11-2.16
Nb (0.8808, 0.8808, 0.8808)  4 C 2.11-2.16
Pt (0.2990, 0.2990, 0.2990)  1 C 2.01
Pt (0.7010, 0.7010, 0.7010)  1 C 2.01
C (0.2113, 0.2113, 0.2113)  1 Pt 2.01, 4 Nb 2.11-2.16
C (0.7887, 0.7887, 0.7887)  1 Pt 2.01, 4 Nb 2.11-2.16

Output
Energy of formation   -54 meV per atom



Record 6
Entry from Alexandria via LeMat-Bulk: a geometry-optimized YScS2Cl structure (PBE).

Lattice parameters (Å, degrees): 4.9342 4.9342 4.7222 90.00 90.00 90.00
Closest atoms and distances in Å follow each position.
Sites, in units of the cell vectors:
Y (0.0000, 0.0000, 0.0000)  8 S 3.41, 4 Cl 3.49
Sc (0.5000, 0.5000, 0.5000)  2 Cl 2.36, 4 S 2.47
S (0.0000, 0.5000, 0.5000)  2 Sc 2.47
S (0.5000, 0.0000, 0.5000)  2 Sc 2.47
Cl (0.5000, 0.5000, 0.0000)  2 Sc 2.36

Output
Polymorph energy (0 for the lowest one)   0.0 meV per atom
Uncorrected formation energy   -6.8 eV/f.u.